Compound: Pm8Pd3Pt2
Source: Alexandria via LeMat-Bulk
Functional: GGA-PBE
Structure: optimized geometry

Structure (POSCAR):
```
Pm8Pd3Pt2
1.0
7.620 -3.740 0.000
7.620 3.740 0.000
-1.416 0.000 6.493
Pm Pd Pt
8 3 2
Cartesian
0.690 0.000 2.175 Pm
5.458 1.852 0.808 Pm
4.159 0.000 4.000 Pm
8.366 1.852 5.685 Pm
5.458 -1.852 0.808 Pm
9.666 0.000 2.493 Pm
8.366 -1.852 5.685 Pm
13.135 0.000 4.317 Pm
6.912 1.366 3.246 Pd
7.620 0.000 0.000 Pd
6.912 -1.366 3.246 Pd
3.302 0.000 1.196 Pt
10.523 0.000 5.296 Pt
```

- Spin magnetization: 0.00 μB per atom
- Energy of formation: -0.6369 eV/atom